# 1
# GGA-PBEsol LiCoP2, optimized geometry
# Formation enthalpy at 0 K, eV per atom: -0.2379
# Calculated density, g cm⁻³: 4.6
# Energy above the lowest structure with this stoichiometry, meV per atom: 133
# Fermi-level density of states, states/eV per atom: 0.3150
data_LiCoP2
_symmetry_space_group_name_H-M 'P 1'
_symmetry_Int_Tables_number 1
_cell_length_a 3.883
_cell_length_b 4.097
_cell_length_c 3.883
_cell_angle_alpha 61.71
_cell_angle_beta 90.00
_cell_angle_gamma 118.29
loop_
_symmetry_equiv_pos_as_xyz
'x,y,z'
loop_
_atom_site_label
_atom_site_type_symbol
_atom_site_fract_x
_atom_site_fract_y
_atom_site_fract_z
P1 P 0.750 0.500 0.750
P2 P 0.250 0.500 0.250
Co1 Co 0.500 0.000 0.500
Li1 Li 0.000 0.000 0.000

---

# 2
# GGA-PBEsol RbHgSbTe3, optimized geometry
# Calculated density, g cm⁻³: 6.5
# Fermi-level density of states, states/eV per atom: 0.0081
# Energy relative to the elements, uncorrected, meV per atom: -396
data_RbHgSbTe3
_symmetry_space_group_name_H-M 'P 1'
_symmetry_Int_Tables_number 1
_cell_length_a 4.488
_cell_length_b 8.137
_cell_length_c 11.587
_cell_angle_alpha 90.00
_cell_angle_beta 90.00
_cell_angle_gamma 106.01
loop_
_symmetry_equiv_pos_as_xyz
'x,y,z'
loop_
_atom_site_label
_atom_site_type_symbol
_atom_site_fract_x
_atom_site_fract_y
_atom_site_fract_z
Te1 Te 0.066 0.132 0.248
Te2 Te 0.635 0.270 0.965
Te3 Te 0.631 0.262 0.537
Te4 Te 0.934 0.868 0.748
Te5 Te 0.369 0.738 0.037
Te6 Te 0.365 0.730 0.465
Hg1 Hg 0.450 0.900 0.252
Hg2 Hg 0.550 0.100 0.752
Rb1 Rb 0.248 0.496 0.750
Rb2 Rb 0.752 0.504 0.250
Sb1 Sb 0.003 0.006 0.004
Sb2 Sb 0.997 0.994 0.504

---

# 3
# GGA-PBEsol Zn4Pt, optimized geometry
# Formation enthalpy at 0 K, eV per atom: -0.3177
# Calculated density, g cm⁻³: 11.0
# Fermi-level density of states, states/eV per atom: 0.2369
data_Zn4Pt
_symmetry_space_group_name_H-M 'P 1'
_symmetry_Int_Tables_number 1
_cell_length_a 3.762
_cell_length_b 4.674
_cell_length_c 4.674
_cell_angle_alpha 80.68
_cell_angle_beta 66.27
_cell_angle_gamma 66.27
loop_
_symmetry_equiv_pos_as_xyz
'x,y,z'
loop_
_atom_site_label
_atom_site_type_symbol
_atom_site_fract_x
_atom_site_fract_y
_atom_site_fract_z
Pt1 Pt 0.000 0.000 0.000
Zn1 Zn 0.398 0.401 0.803
Zn2 Zn 0.602 0.599 0.197
Zn3 Zn 0.799 0.803 0.599
Zn4 Zn 0.201 0.197 0.401

---

# 4
# GGA-PBEsol MgAlReHg2, optimized geometry
# Formation enthalpy at 0 K, eV per atom: 1.1192
# Calculated density, g cm⁻³: 7.8
# Fermi-level density of states, states/eV per atom: 0.9438
data_MgAlReHg2
_symmetry_space_group_name_H-M 'P 1'
_symmetry_Int_Tables_number 1
_cell_length_a 5.081
_cell_length_b 5.169
_cell_length_c 5.169
_cell_angle_alpha 90.00
_cell_angle_beta 90.00
_cell_angle_gamma 90.00
loop_
_symmetry_equiv_pos_as_xyz
'x,y,z'
loop_
_atom_site_label
_atom_site_type_symbol
_atom_site_fract_x
_atom_site_fract_y
_atom_site_fract_z
Hg1 Hg 0.000 0.000 0.500
Hg2 Hg 0.000 0.500 0.000
Re1 Re 0.000 0.000 0.000
Mg1 Mg 0.500 0.000 0.000
Al1 Al 0.500 0.500 0.500

---

# 5
# GGA-PBEsol YRu2W, optimized geometry
# Formation enthalpy at 0 K, eV per atom: 0.3692
# Calculated density, g cm⁻³: 11.6
# Energy above the lowest structure with this stoichiometry, meV per atom: 418
# Fermi-level density of states, states/eV per atom: 1.4086
data_YRu2W
_symmetry_space_group_name_H-M 'P 1'
_symmetry_Int_Tables_number 1
_cell_length_a 3.200
_cell_length_b 3.200
_cell_length_c 6.664
_cell_angle_alpha 90.00
_cell_angle_beta 90.00
_cell_angle_gamma 90.00
loop_
_symmetry_equiv_pos_as_xyz
'x,y,z'
loop_
_atom_site_label
_atom_site_type_symbol
_atom_site_fract_x
_atom_site_fract_y
_atom_site_fract_z
W1 W 0.000 0.000 0.444
Y1 Y 0.500 0.500 0.766
Ru1 Ru 0.000 0.000 0.026
Ru2 Ru 0.500 0.500 0.264

---

# 6
# GGA-PBEsol NaYI4O12, optimized geometry
# Calculated density, g cm⁻³: 5.1
# Fermi-level density of states, states/eV per atom: 0.0000
# Energy relative to the elements, uncorrected, meV per atom: -1021
data_NaYI4O12
_symmetry_space_group_name_H-M 'P 1'
_symmetry_Int_Tables_number 1
_cell_length_a 5.524
_cell_length_b 12.339
_cell_length_c 15.782
_cell_angle_alpha 90.85
_cell_angle_beta 100.08
_cell_angle_gamma 90.00
loop_
_symmetry_equiv_pos_as_xyz
'x,y,z'
loop_
_atom_site_label
_atom_site_type_symbol
_atom_site_fract_x
_atom_site_fract_y
_atom_site_fract_z
I1 I 0.877 0.377 0.166
I2 I 0.558 0.086 0.610
I3 I 0.560 0.379 0.497
I4 I 0.536 0.813 0.686
I5 I 0.719 0.539 0.811
I6 I 0.197 0.769 0.887
I7 I 0.690 0.269 0.887
I8 I 0.889 0.720 0.284
I9 I 0.937 0.879 0.497
I10 I 0.297 0.462 0.005
I11 I 0.092 0.039 0.811
I12 I 0.289 0.877 0.166
I13 I 0.709 0.962 0.005
I14 I 0.150 0.313 0.686
I15 I 0.052 0.586 0.610
I16 I 0.396 0.220 0.284
O1 O 0.667 0.153 0.344
O2 O 0.905 0.915 0.803
O3 O 0.408 0.731 0.764
O4 O 0.356 0.231 0.764
O5 O 0.376 0.897 0.896
O6 O 0.510 0.179 0.943
O7 O 0.902 0.594 0.911
O8 O 0.009 0.094 0.911
O9 O 0.183 0.734 0.155
O10 O 0.108 0.920 0.246
O11 O 0.033 0.801 0.978
O12 O 0.888 0.001 0.433
O13 O 0.116 0.530 0.079
O14 O 0.858 0.463 0.604
O15 O 0.899 0.415 0.803
O16 O 0.240 0.250 0.589
O17 O 0.859 0.625 0.739
O18 O 0.350 0.935 0.690
O19 O 0.815 0.680 0.558
O20 O 0.677 0.653 0.344
O21 O 0.627 0.834 0.451
O22 O 0.377 0.340 0.070
O23 O 0.520 0.397 0.896
O24 O 0.189 0.553 0.514
O25 O 0.963 0.030 0.079
O26 O 0.824 0.334 0.451
O27 O 0.972 0.234 0.155
O28 O 0.417 0.140 0.186
O29 O 0.746 0.963 0.604
O30 O 0.325 0.053 0.514
O31 O 0.467 0.025 0.053
O32 O 0.433 0.679 0.943
O33 O 0.340 0.435 0.690
O34 O 0.669 0.368 0.244
O35 O 0.316 0.303 0.424
O36 O 0.743 0.180 0.558
O37 O 0.155 0.633 0.327
O38 O 0.349 0.750 0.589
O39 O 0.586 0.525 0.053
O40 O 0.172 0.133 0.327
O41 O 0.769 0.640 0.186
O42 O 0.137 0.420 0.246
O43 O 0.545 0.501 0.433
O44 O 0.693 0.840 0.070
O45 O 0.107 0.803 0.424
O46 O 0.945 0.301 0.978
O47 O 0.575 0.868 0.244
O48 O 0.879 0.125 0.739
Na1 Na 0.836 0.065 0.221
Na2 Na 0.385 0.565 0.221
Na3 Na 0.417 0.974 0.371
Na4 Na 0.954 0.474 0.371
Y1 Y 0.831 0.670 0.046
Y2 Y 0.215 0.170 0.046
Y3 Y 0.436 0.675 0.452
Y4 Y 0.017 0.175 0.452

---

# 7
# GGA-PBEsol Co2H2Os, optimized geometry
# Calculated density, g cm⁻³: 13.2
# Final energy, eV per atom: -6.793
# Fermi-level density of states, states/eV per atom: 0.6996
data_Co2H2Os
_symmetry_space_group_name_H-M 'P 1'
_symmetry_Int_Tables_number 1
_cell_length_a 2.626
_cell_length_b 2.626
_cell_length_c 5.957
_cell_angle_alpha 102.73
_cell_angle_beta 102.73
_cell_angle_gamma 90.00
loop_
_symmetry_equiv_pos_as_xyz
'x,y,z'
loop_
_atom_site_label
_atom_site_type_symbol
_atom_site_fract_x
_atom_site_fract_y
_atom_site_fract_z
Os1 Os 0.000 0.000 0.000
H1 H 0.250 0.750 0.500
H2 H 0.750 0.250 0.500
Co1 Co 0.654 0.654 0.308
Co2 Co 0.346 0.346 0.692

---

# 8
# GGA-PBEsol BeIr2Ru, optimized geometry
# Formation enthalpy at 0 K, eV per atom: -0.2812
# Calculated density, g cm⁻³: 16.8
# Fermi-level density of states, states/eV per atom: 0.4773
data_BeIr2Ru
_symmetry_space_group_name_H-M 'P 1'
_symmetry_Int_Tables_number 1
_cell_length_a 2.725
_cell_length_b 2.725
_cell_length_c 6.570
_cell_angle_alpha 90.00
_cell_angle_beta 90.00
_cell_angle_gamma 90.00
loop_
_symmetry_equiv_pos_as_xyz
'x,y,z'
loop_
_atom_site_label
_atom_site_type_symbol
_atom_site_fract_x
_atom_site_fract_y
_atom_site_fract_z
Be1 Be 0.500 0.500 0.500
Ir1 Ir 0.000 0.000 0.717
Ir2 Ir 0.000 0.000 0.283
Ru1 Ru 0.500 0.500 0.000

---

- Fermi-level density of states of number 7 (Co2H2Os)?
  0.6996 states/eV per atom

---

- What is the formula in the sixth record?
  NaYI4O12

---

- Which formula does entry 4 have?
  MgAlReHg2